First-principles (PBE-GGA) data for a relaxed structure of Cs2HfSiCl6, as listed in Alexandria via LeMat-Bulk.

a = 7.266 Å, b = 7.266 Å, c = 12.922 Å
α = 90.00°, β = 90.00°, γ = 90.00°
Space group I4/mmm (No. 139)
Inequivalent atoms, fractional coordinates:
Cs1 0.000 0.500 0.250 [4 per cell]
Hf1 0.000 0.000 0.000 [2 per cell]
Si1 0.000 0.000 0.500 [2 per cell]
Cl1 0.000 0.000 0.194 [4 per cell]
Cl2 0.240 0.240 0.000 [8 per cell]

Calculated values
Its density of states at the Fermi level is 0.00 states/eV/f.u. The calculation puts the density at 3.3 g cm⁻³. The raw total energy comes out at -4.1892 eV per atom. The calculation puts the energy relative to the elements, uncorrected at -13.73 eV/f.u.

***

First-principles (PBE-GGA) data for a relaxed structure of Cs2HfSnCl, as listed in Alexandria via LeMat-Bulk.

a = 7.605 Å, b = 7.605 Å, c = 5.473 Å
α = 90.00°, β = 90.00°, γ = 90.00°
Space group P4/mmm (No. 123)
Inequivalent atoms, fractional coordinates:
Cs1 0.000 0.500 0.000 [2 per cell]
Hf1 0.000 0.000 0.500 [1 per cell]
Sn1 0.500 0.500 0.000 [1 per cell]
Cl1 0.500 0.500 0.500 [1 per cell]

Calculated values
Its density of states at the Fermi level is 12.23 states/eV/f.u. The calculation puts the density at 3.1 g cm⁻³. The raw total energy comes out at -2.7007 eV per atom. The calculation puts the energy relative to the elements, uncorrected at 4.01 eV/f.u.

***

First-principles (PBE-GGA) data for a relaxed structure of Cs2HfTcCl6, as listed in Alexandria via LeMat-Bulk.

a = 10.457 Å, b = 10.457 Å, c = 10.457 Å
α = 90.00°, β = 90.00°, γ = 90.00°
Space group Fm-3m (No. 225)
Inequivalent atoms, fractional coordinates:
Cs1 0.250 0.250 0.250 [8 per cell]
Hf1 0.000 0.000 0.000 [4 per cell]
Tc1 0.000 0.000 0.500 [4 per cell]
Cl1 0.000 0.000 0.241 [24 per cell]

Calculated values
Its density of states at the Fermi level is 4.39 states/eV/f.u. The calculation puts the density at 4.4 g cm⁻³. The raw total energy comes out at -4.5465 eV per atom. The calculation puts the energy relative to the elements, uncorrected at -12.36 eV/f.u.

***

First-principles (PBE-GGA) data for a relaxed structure of CsHfTl2Cl, as listed in Alexandria via LeMat-Bulk.

a = 5.848 Å, b = 5.848 Å, c = 5.160 Å
α = 90.00°, β = 90.00°, γ = 90.00°
Space group P4/mmm (No. 123)
Inequivalent atoms, fractional coordinates:
Cs1 0.000 0.000 0.000 [1 per cell]
Hf1 0.500 0.500 0.500 [1 per cell]
Tl1 0.000 0.500 0.500 [2 per cell]
Cl1 0.500 0.500 0.000 [1 per cell]

Calculated values
Its density of states at the Fermi level is 4.47 states/eV/f.u. The calculation puts the density at 7.1 g cm⁻³. The raw total energy comes out at -3.6611 eV per atom. The calculation puts the energy relative to the elements, uncorrected at -0.92 eV/f.u.

***

> What is the energy relative to the elements, uncorrected in the first record?

-13.73 eV/f.u.